VASP calculation (GGA-PBE) on a relaxed structure of CsC5.

Geometry as POSCAR:
```
CsC5
1.0
-1.519 -4.611 -2.984
0.509 -5.490 -1.441
-3.921 -3.385 3.226
C Cs
5 1
Direct
0.295 0.295 0.568
0.420 0.420 0.593
0.977 0.977 0.622
0.076 0.076 0.716
0.731 0.731 0.569
0.668 0.668 0.098
```

Properties
Distance to the lowest polymorph of the same formula (meV/atom): 0
Spin magnetization (μB/cell): 0.000
Space group: Cm, No. 8
ΔH_f (0 K) (eV per atom): 1.244
DOS(E_F) (states/eV per cell): 1.52

VASP calculation (GGA-PBE) on a relaxed structure of TaTcBr.

Geometry as POSCAR:
```
TaTcBr
1.0
-2.392 5.667 0.343
-5.504 2.549 1.075
4.402 -4.048 1.477
Tc Ta Br
1 1 1
Direct
0.692 0.692 0.000
0.312 0.312 0.000
0.996 0.996 0.000
```

Properties
Distance to the lowest polymorph of the same formula (meV/atom): 269
Spin magnetization (μB/cell): 0.000
Space group: I4mm, No. 107
Formation energy (no corrections) (eV/atom): 0.33
DOS(E_F) (states/eV per cell): 1.88